Here is a relaxed ZnCrSn3 crystal from Alexandria via LeMat-Bulk. Energies are from PBE-GGA.

Unit cell a=5.198 b=5.198 c=5.198 alpha=90.00 beta=90.00 gamma=90.00
Space group Pm-3m (No. 221)
Symmetry-distinct sites (fractional):
Zn 0.000 0.000 0.000 [1 per cell]
Cr 0.500 0.500 0.500 [1 per cell]
Sn 0.000 0.000 0.500 [3 per cell]

Properties
The calculation puts the energy of formation from the pure elements at 3.58 eV per formula unit. The value obtained for the density of states at the Fermi level is 2.97 states/eV per cell. The value obtained for the total magnetization is 0.917 μB/atom. The calculation puts the calculated density at 5599 kg/m3. The energy above the most stable polymorph in this dataset comes out at 444 meV per atom.